{"formula": "TiMnTc2O", "functional": "PBE+U", "state": "relaxed", "magnetic_moment_mub_per_cell": 3.94, "e_tot_ev_per_atom": -8.56, "sg": "P4/mmm", "vol_a3_per_atom": 13.8, "lattice": [[4.145, 0.000, 0.000], [0.000, 4.145, 0.000], [0.000, 0.000, 4.005]], "species": ["Ti", "Mn", "Tc", "Tc", "O"], "frac_coords": [[0.000, 0.000, 0.000], [0.500, 0.500, 0.000], [0.000, 0.500, 0.500], [0.500, 0.000, 0.500], [0.000, 0.000, 0.500]]}